(1)
The following is a PBE-GGA calculation of an optimized crystal structure of TlAgRh, from Alexandria via LeMat-Bulk.

Properties
Electronic total energy in eV per atom: -3.963
ΔE_f in kJ per mole of atoms: 21.90
Offset from the most stable computed form in meV per atom: 113
Total magnetic moment in μB per formula unit: 0.00

Cell lengths 5.748, 5.748, 5.748 Å; angles 147.07, 147.07, 47.25 degrees
Fractional coordinates of all 3 atoms:
Tl  0.000  0.000  0.000
Ag  0.687  0.687  0.000
Rh  0.348  0.348  0.000


(2)
The following is a PBE-GGA calculation of an optimized crystal structure of Tl2AgRh, from Alexandria via LeMat-Bulk.

Properties
Electronic total energy in eV per atom: -3.336
ΔE_f in kJ per mole of atoms: 38.41
Offset from the most stable computed form in meV per atom: 284
Total magnetic moment in μB per formula unit: 0.00

Cell lengths 10.027, 10.027, 10.027 Å; angles 154.77, 154.77, 35.98 degrees
Fractional coordinates of all 8 atoms:
Tl  0.114  0.625  0.989
Tl  0.375  0.364  0.489
Tl  0.636  0.125  0.011
Tl  0.875  0.886  0.511
Ag  0.250  0.750  0.500
Ag  0.500  0.500  0.000
Rh  0.000  0.000  0.000
Rh  0.750  0.250  0.500


(3)
The following is a PBE-GGA calculation of an optimized crystal structure of TlAgRh3, from Alexandria via LeMat-Bulk.

Properties
Electronic total energy in eV per atom: -3.990
ΔE_f in kJ per mole of atoms: 141.30
Offset from the most stable computed form in meV per atom: 0
Total magnetic moment in μB per formula unit: 1.82

Cell lengths 4.857, 4.857, 4.857 Å; angles 90.00, 90.00, 90.00 degrees
Fractional coordinates of all 5 atoms:
Tl  0.000  0.000  0.000
Ag  0.500  0.500  0.500
Rh  0.000  0.500  0.500
Rh  0.500  0.000  0.500
Rh  0.500  0.500  0.000


(4)
The following is a PBE-GGA calculation of an optimized crystal structure of Tl2AgRh2, from Alexandria via LeMat-Bulk.

Properties
Electronic total energy in eV per atom: -4.335
ΔE_f in kJ per mole of atoms: 11.83
Total magnetic moment in μB per formula unit: 0.00

Cell lengths 7.671, 7.671, 3.248 Å; angles 90.00, 90.00, 90.00 degrees
Fractional coordinates of all 10 atoms:
Tl  0.166  0.334  0.000
Tl  0.334  0.834  0.000
Tl  0.666  0.166  0.000
Tl  0.834  0.666  0.000
Ag  0.000  0.000  0.500
Ag  0.500  0.500  0.500
Rh  0.133  0.633  0.500
Rh  0.367  0.133  0.500
Rh  0.633  0.867  0.500
Rh  0.867  0.367  0.500